VASP calculation (PBE) on AcZnH6Rh2 after structural relaxation.

a b c (Å): 6.4008 6.4008 5.8154
angles (deg): 102.74 102.74 102.28
Sites, in units of the cell vectors:
Ac (0.1605, 0.8395, 0.2500)
Ac (0.8395, 0.1605, 0.7500)
Zn (0.6708, 0.3292, 0.2500)
Zn (0.3292, 0.6708, 0.7500)
H (0.9585, 0.4391, 0.1573)
H (0.5609, 0.0415, 0.3427)
H (0.0415, 0.5609, 0.8427)
H (0.4391, 0.9585, 0.6573)
H (0.2091, 0.2079, 0.1007)
H (0.7921, 0.7909, 0.3993)
H (0.7909, 0.7921, 0.8993)
H (0.2079, 0.2091, 0.6007)
H (0.3330, 0.5341, 0.4434)
H (0.4659, 0.6670, 0.0566)
H (0.6670, 0.4659, 0.5566)
H (0.5341, 0.3330, 0.9434)
Rh (0.3253, 0.0937, 0.8515)
Rh (0.9063, 0.6747, 0.6485)
Rh (0.6747, 0.9063, 0.1485)
Rh (0.0937, 0.3253, 0.3515)

Properties
crystal system	monoclinic
E_tot	-4.31	eV/atom

=====

VASP calculation (PBE) on Zr2ScRh after structural relaxation.

a b c (Å): 3.3087 3.3087 7.4630
angles (deg): 90.00 90.00 90.00
Sites, in units of the cell vectors:
Sc (0.5000, 0.5000, 0.7111)
Rh (0.0000, 0.0000, 0.4981)
Zr (0.0000, 0.0000, 0.0068)
Zr (0.5000, 0.5000, 0.2840)

Properties
crystal system	tetragonal
formation enthalpy at 0 K	-443	meV/atom

=====

VASP calculation (PBE) on USnP2 after structural relaxation.

a b c (Å): 4.1602 4.1602 6.6622
angles (deg): 71.81 71.81 60.00
Last column: magnetic moment on the atom in μB.
Sites, in units of the cell vectors:
U (0.6663, 0.6663, 0.0011)  1.88
Sn (0.4901, 0.4901, 0.5296)  0.02
P (0.0756, 0.0756, 0.7732)  -0.03
P (0.2680, 0.2680, 0.1961)  -0.08

Properties
crystal system	trigonal
formation enthalpy at 0 K	-324	meV/atom
relative energy among the computed polymorphs	0.088	eV per atom

=====

VASP calculation (PBE) on TlSiF6 after structural relaxation.

a b c (Å): 5.0560 5.0560 5.5049
angles (deg): 62.66 62.66 60.00
Sites, in units of the cell vectors:
Tl (0.5000, 0.5000, 0.5000)
Si (0.0000, 0.0000, 0.0000)
F (0.9131, 0.9131, 0.7856)
F (0.3881, 0.9131, 0.7856)
F (0.0869, 0.6119, 0.2144)
F (0.6119, 0.0869, 0.2144)
F (0.0869, 0.0869, 0.2144)
F (0.9131, 0.3881, 0.7856)

Properties
crystal system	trigonal
uncorrected formation energy	-2.4788	eV per atom
relative energy among the computed polymorphs	0.084	eV per atom

=====

VASP calculation (PBE) on PmLuPd2 after structural relaxation.

a b c (Å): 4.1445 4.1445 6.9310
angles (deg): 72.60 72.60 60.00
Sites, in units of the cell vectors:
Lu (0.5000, 0.5000, 0.5000)
Pd (0.7573, 0.7573, 0.7280)
Pd (0.2427, 0.2427, 0.2720)
Pm (0.0000, 0.0000, 0.0000)

Properties
crystal system	trigonal
formation enthalpy at 0 K	-729	meV/atom
relative energy among the computed polymorphs	0.126	eV per atom

=====

VASP calculation (PBE) on NiAg2As after structural relaxation.

a b c (Å): 8.8287 8.8287 8.8287
angles (deg): 19.56 19.56 19.56
Sites, in units of the cell vectors:
Ag (0.0087, 0.0087, 0.0087)
Ag (0.2499, 0.2499, 0.2499)
As (0.4841, 0.4841, 0.4841)
Ni (0.7572, 0.7572, 0.7572)

Properties
crystal system	trigonal
formation enthalpy at 0 K	71	meV/atom

=====

VASP calculation (PBE) on CaAl2Cr2 after structural relaxation.

a b c (Å): 4.3317 4.3317 5.8005
angles (deg): 68.08 68.08 90.00
Sites, in units of the cell vectors:
Cr (0.4073, 0.4073, 0.1855)
Cr (0.5927, 0.5927, 0.8145)
Ca (0.0000, 0.0000, 0.0000)
Al (0.7500, 0.2500, 0.5000)
Al (0.2500, 0.7500, 0.5000)

Properties
crystal system	tetragonal
formation enthalpy at 0 K	271	meV/atom
relative energy among the computed polymorphs	0.169	eV per atom

=====

VASP calculation (PBE) on Mn2Pd13 after structural relaxation.

a b c (Å): 7.2145 7.2145 7.7474
angles (deg): 62.25 62.25 60.00
Last column: magnetic moment on the atom in μB.
Sites, in units of the cell vectors:
Mn (0.2649, 0.2649, 0.2054)  4.01
Mn (0.7351, 0.7351, 0.7946)  4.01
Pd (0.5000, 0.5000, 0.5000)  -0.04
Pd (0.4792, 0.8623, 0.1794)  0.07
Pd (0.4792, 0.4792, 0.1794)  0.07
Pd (0.8623, 0.4792, 0.1794)  0.07
Pd (0.1377, 0.5208, 0.8206)  0.07
Pd (0.5208, 0.1377, 0.8206)  0.07
Pd (0.5208, 0.5208, 0.8206)  0.07
Pd (0.2630, 0.8988, 0.5752)  0.09
Pd (0.2630, 0.2630, 0.5752)  0.09
Pd (0.8988, 0.2630, 0.5752)  0.09
Pd (0.1012, 0.7370, 0.4248)  0.09
Pd (0.7370, 0.1012, 0.4248)  0.09
Pd (0.7370, 0.7370, 0.4248)  0.09

Properties
crystal system	trigonal
formation enthalpy at 0 K	376	meV/atom

=====

VASP calculation (PBE) on Sr2MnCl6 after structural relaxation.

a b c (Å): 6.6718 7.6058 9.4503
angles (deg): 90.00 88.35 90.00
Last column: magnetic moment on the atom in μB.
Sites, in units of the cell vectors:
Sr (0.0359, 0.6076, 0.7464)  0.00
Sr (0.4641, 0.1076, 0.7536)  0.00
Sr (0.5359, 0.8924, 0.2464)  0.00
Sr (0.9641, 0.3924, 0.2536)  0.00
Mn (0.5000, 0.5000, 0.0000)  4.41
Mn (0.0000, 0.0000, 0.5000)  4.41
Cl (0.1251, 0.0354, 0.2510)  0.04
Cl (0.1573, 0.3011, 0.5602)  0.03
Cl (0.1837, 0.3359, 0.9408)  0.04
Cl (0.3163, 0.8359, 0.5592)  0.04
Cl (0.3427, 0.8011, 0.9398)  0.03
Cl (0.3749, 0.5354, 0.2490)  0.04
Cl (0.8749, 0.9646, 0.7490)  0.04
Cl (0.8427, 0.6989, 0.4398)  0.03
Cl (0.8163, 0.6641, 0.0592)  0.04
Cl (0.6837, 0.1641, 0.4408)  0.04
Cl (0.6573, 0.1989, 0.0602)  0.03
Cl (0.6251, 0.4646, 0.7510)  0.04

Properties
crystal system	monoclinic
uncorrected formation energy	-2.0098	eV per atom
relative energy among the computed polymorphs	0.000	eV per atom

=====

VASP calculation (PBE) on K2Pd15Pb2 after structural relaxation.

a b c (Å): 7.1483 7.1483 7.1483
angles (deg): 83.58 83.58 83.58
Sites, in units of the cell vectors:
K (0.3586, 0.3586, 0.3586)
K (0.6414, 0.6414, 0.6414)
Pd (0.5000, 0.0000, 0.0000)
Pd (0.0000, 0.0000, 0.5000)
Pd (0.0000, 0.5000, 0.0000)
Pd (0.0000, 0.6999, 0.3001)
Pd (0.6999, 0.3001, 0.0000)
Pd (0.3001, 0.0000, 0.6999)
Pd (0.3001, 0.6999, 0.0000)
Pd (0.6999, 0.0000, 0.3001)
Pd (0.0000, 0.3001, 0.6999)
Pd (0.1542, 0.6555, 0.6555)
Pd (0.6555, 0.6555, 0.1542)
Pd (0.6555, 0.1542, 0.6555)
Pd (0.8458, 0.3445, 0.3445)
Pd (0.3445, 0.3445, 0.8458)
Pd (0.3445, 0.8458, 0.3445)
Pb (0.1125, 0.1125, 0.1125)
Pb (0.8875, 0.8875, 0.8875)

Properties
crystal system	trigonal
formation enthalpy at 0 K	-24	meV/atom

=====

VASP calculation (PBE) on Rb4HgPb4 after structural relaxation.

a b c (Å): 7.2769 9.6743 7.2769
angles (deg): 67.91 90.00 112.09
Sites, in units of the cell vectors:
Rb (0.2035, 0.7699, 0.4336)
Rb (0.5664, 0.7699, 0.7965)
Rb (0.4336, 0.2301, 0.5664)
Rb (0.7965, 0.2301, 0.2035)
Hg (0.0000, 0.0000, 0.0000)
Pb (0.3105, 0.3188, 0.9917)
Pb (0.0083, 0.3188, 0.6895)
Pb (0.9917, 0.6812, 0.0083)
Pb (0.6895, 0.6812, 0.3105)

Properties
crystal system	tetragonal
formation enthalpy at 0 K	75	meV/atom

=====

VASP calculation (PBE) on ZrMoP after structural relaxation.

a b c (Å): 6.4080 6.1720 3.0202
angles (deg): 80.50 71.80 27.70
Sites, in units of the cell vectors:
Zr (0.3214, 0.3214, 0.6786)
Mo (0.0182, 0.0182, 0.9818)
P (0.6604, 0.6604, 0.3396)

Properties
crystal system	orthorhombic
formation enthalpy at 0 K	-284	meV/atom
relative energy among the computed polymorphs	0.705	eV per atom

=====

VASP calculation (PBE) on BMoAu2I after structural relaxation.

a b c (Å): 4.5134 4.5223 4.5134
angles (deg): 90.00 90.00 90.00
Last column: magnetic moment on the atom in μB.
Sites, in units of the cell vectors:
I (0.5000, 0.5000, 0.5000)  -0.01
Mo (0.0000, 0.5000, 0.0000)  1.75
B (0.0000, 0.0000, 0.0000)  -0.09
Au (0.0000, 0.0000, 0.5000)  -0.03
Au (0.5000, 0.0000, 0.0000)  -0.03

Properties
crystal system	tetragonal
uncorrected formation energy	0.6964	eV per atom

=====

VASP calculation (PBE) on Al2AgCl after structural relaxation.

a b c (Å): 5.3594 5.3594 5.3594
angles (deg): 133.57 133.57 67.77
Sites, in units of the cell vectors:
Al (0.0000, 0.0000, 0.0000)
Al (0.5000, 0.5000, 0.0000)
Ag (0.7500, 0.2500, 0.5000)
Cl (0.2500, 0.7500, 0.5000)

Properties
crystal system	tetragonal
uncorrected formation energy	0.1288	eV per atom
relative energy among the computed polymorphs	0.360	eV per atom

=====

VASP calculation (PBE) on KLiCd2 after structural relaxation.

a b c (Å): 5.8757 5.8757 5.8757
angles (deg): 130.03 130.03 73.36
Sites, in units of the cell vectors:
Cd (0.0000, 0.0000, 0.0000)
Cd (0.5000, 0.5000, 0.0000)
K (0.2500, 0.7500, 0.5000)
Li (0.7500, 0.2500, 0.5000)

Properties
crystal system	tetragonal
formation enthalpy at 0 K	24	meV/atom
relative energy among the computed polymorphs	0.135	eV per atom

=====

VASP calculation (PBE) on KTiSb2 after structural relaxation.

a b c (Å): 4.1521 4.1521 8.5058
angles (deg): 75.87 75.87 60.00
Sites, in units of the cell vectors:
K (0.4986, 0.4986, 0.5041)
Ti (0.6676, 0.6676, 0.9973)
Sb (0.0600, 0.0600, 0.8200)
Sb (0.2738, 0.2738, 0.1785)

Properties
crystal system	trigonal
uncorrected formation energy	-0.2985	eV per atom
relative energy among the computed polymorphs	0.013	eV per atom

=====

VASP calculation (PBE) on Ca3ZnIn3 after structural relaxation.

a b c (Å): 4.5687 6.2320 15.2181
angles (deg): 84.73 81.37 68.50
Sites, in units of the cell vectors:
Ca (0.5312, 0.3238, 0.6137)
Ca (0.4688, 0.6762, 0.3863)
Ca (0.2572, 0.2523, 0.2333)
Ca (0.7428, 0.7477, 0.7667)
Ca (0.3938, 0.2919, 0.9206)
Ca (0.6062, 0.7081, 0.0794)
Zn (0.7632, 0.0855, 0.3881)
Zn (0.2368, 0.9145, 0.6119)
In (0.8574, 0.7434, 0.5418)
In (0.1426, 0.2566, 0.4582)
In (0.1133, 0.8510, 0.9225)
In (0.8867, 0.1490, 0.0775)
In (0.9712, 0.8207, 0.2368)
In (0.0288, 0.1793, 0.7632)

Properties
crystal system	monoclinic
formation enthalpy at 0 K	-391	meV/atom

=====

VASP calculation (PBE) on ScBrCl after structural relaxation.

a b c (Å): 3.6705 7.2966 8.2800
angles (deg): 132.62 90.67 89.25
Sites, in units of the cell vectors:
Cl (0.5056, 0.0195, 0.2319)
Cl (0.4944, 0.9805, 0.7681)
Sc (0.0000, 0.0000, 0.0000)
Sc (0.5000, 0.5000, 0.5000)
Br (0.9935, 0.5045, 0.2575)
Br (0.0065, 0.4955, 0.7425)

Properties
crystal system	triclinic
uncorrected formation energy	-1.6980	eV per atom

=====

VASP calculation (PBE) on Cs2Np2TeSe6 after structural relaxation.

a b c (Å): 7.3703 7.3703 8.8803
angles (deg): 97.81 97.81 120.10
Last column: magnetic moment on the atom in μB.
Sites, in units of the cell vectors:
Cs (0.8349, 0.1651, 0.0000)  0.00
Cs (0.1651, 0.8349, 0.0000)  0.00
Np (0.3332, 0.6668, 0.5000)  3.84
Np (0.6668, 0.3332, 0.5000)  3.84
Te (0.0000, 0.0000, 0.5000)  0.18
Se (0.7280, 0.7280, 0.6807)  -0.05
Se (0.0599, 0.3949, 0.6816)  -0.04
Se (0.2720, 0.2720, 0.3193)  -0.05
Se (0.3949, 0.0599, 0.6816)  -0.04
Se (0.9401, 0.6051, 0.3184)  -0.04
Se (0.6051, 0.9401, 0.3184)  -0.04

Properties
crystal system	monoclinic
uncorrected formation energy	-0.9090	eV per atom

=====

VASP calculation (PBE) on SrTcMoP2 after structural relaxation.

a b c (Å): 3.9785 3.9785 6.7586
angles (deg): 107.12 107.12 90.00
Sites, in units of the cell vectors:
Sr (0.0000, 0.0000, 0.0000)
Tc (0.7500, 0.2500, 0.5000)
Mo (0.2500, 0.7500, 0.5000)
P (0.6371, 0.6371, 0.2741)
P (0.3629, 0.3629, 0.7259)

Properties
crystal system	tetragonal
formation enthalpy at 0 K	-656	meV/atom